Density functional theory data (GGA-PBE) for crystalline KMn2CuI8 at its relaxed geometry.

Structure (POSCAR):
```
KMn2CuI8
1.0
-6.5911 -3.1489 -0.2801
4.5330 -0.4950 -5.7135
3.8682 -8.4345 3.7997
I Cu Mn K
8 1 2 1
Direct
0.3091 0.0007 0.6680 I
0.6916 0.6909 0.6680 I
0.9993 0.3084 0.6680 I
0.6909 0.9993 0.3320 I
0.3084 0.3091 0.3320 I
0.6667 0.3333 0.0026 I
0.0007 0.6916 0.3320 I
0.3333 0.6667 0.9974 I
0.0000 0.0000 0.5000 Cu
0.6667 0.3333 0.2614 Mn
0.3333 0.6667 0.7386 Mn
0.0000 0.0000 0.0000 K
```

Values from the calculation:
**VASP energy**: -41.1 eV/cell
**N(E_F)**: 6.19 states/eV/f.u.
**Theoretical density**: 4.39 Mg/m³
**Total magnetization**: 8.00 μB per cell